# 1
A plane-wave DFT calculation with PBE was carried out for a relaxed structure of Nd5Dy2Ir4.

## Properties
Energy, eV/atom: -6.3834
Theoretical density, g/cm3: 9.56

The structure in CIF format:
```
data_Nd5Dy2Ir4
_space_group_name_H-M_alt 'C 1 2/m 1'
_space_group_IT_number 12
_space_group_name_Hall '-C 2y'
_cell_length_a 23.597
_cell_length_b 3.894
_cell_length_c 7.172
_cell_angle_alpha 90.00
_cell_angle_beta 106.98
_cell_angle_gamma 90.00
loop_
_atom_site_label
_atom_site_type_symbol
_atom_site_fract_x
_atom_site_fract_y
_atom_site_fract_z
_atom_site_occupancy
Nd1 Nd 0.000 0.000 0.000 1
Nd2 Nd 0.120 0.500 0.876 1
Nd3 Nd 0.130 0.500 0.407 1
Dy1 Dy 0.236 0.000 0.772 1
Ir1 Ir 0.004 0.500 0.320 1
Ir2 Ir 0.061 0.000 0.569 1
```

=====

# 2
A plane-wave DFT calculation with PBE was carried out for a relaxed structure of ScTlTe2N.

## Properties
Formation energy without anion corrections, meV/atom: 787
Energy, eV/atom: -3.8739
Theoretical density, g/cm3: 6.02
E above lowest polymorph, eV/f.u.: 4.16

The structure in CIF format:
```
data_ScTlTe2N
_space_group_name_H-M_alt 'P 4/m m m'
_space_group_IT_number 123
_space_group_name_Hall '-P 4 2'
_cell_length_a 5.822
_cell_length_b 5.822
_cell_length_c 4.223
_cell_angle_alpha 90.00
_cell_angle_beta 90.00
_cell_angle_gamma 90.00
loop_
_atom_site_label
_atom_site_type_symbol
_atom_site_fract_x
_atom_site_fract_y
_atom_site_fract_z
_atom_site_occupancy
Sc1 Sc 0.000 0.000 0.000 1
Tl1 Tl 0.500 0.500 0.500 1
Te1 Te 0.000 0.500 0.500 1
N1 N 0.500 0.500 0.000 1
```

=====

# 3
A plane-wave DFT calculation with PBE was carried out for a relaxed structure of Tm4Mg5Cu2.

## Properties
Energy, eV/atom: -3.2009
Theoretical density, g/cm3: 5.80

The structure in CIF format:
```
data_Tm4Mg5Cu2
_space_group_name_H-M_alt 'P 1 2/m 1'
_space_group_IT_number 10
_space_group_name_Hall '-P 2y'
_cell_length_a 7.889
_cell_length_b 3.453
_cell_length_c 9.718
_cell_angle_alpha 90.00
_cell_angle_beta 92.62
_cell_angle_gamma 90.00
loop_
_atom_site_label
_atom_site_type_symbol
_atom_site_fract_x
_atom_site_fract_y
_atom_site_fract_z
_atom_site_occupancy
Tm1 Tm 0.163 0.000 0.355 1
Tm2 Tm 0.219 0.000 0.951 1
Mg1 Mg 0.186 0.500 0.657 1
Mg2 Mg 0.453 0.500 0.182 1
Mg3 Mg 0.500 0.500 0.500 1
Cu1 Cu 0.057 0.500 0.134 1
```

=====

# 4
A plane-wave DFT calculation with PBE was carried out for a relaxed structure of Si2SbIr.

## Properties
Formation energy without anion corrections, meV/atom: 464
Energy, eV/atom: -5.4931
Theoretical density, g/cm3: 9.09

The structure in CIF format:
```
data_Si2SbIr
_space_group_name_H-M_alt 'C m m m'
_space_group_IT_number 65
_space_group_name_Hall '-C 2 2'
_cell_length_a 5.725
_cell_length_b 7.546
_cell_length_c 3.130
_cell_angle_alpha 90.00
_cell_angle_beta 90.00
_cell_angle_gamma 90.00
loop_
_atom_site_label
_atom_site_type_symbol
_atom_site_fract_x
_atom_site_fract_y
_atom_site_fract_z
_atom_site_occupancy
Si1 Si 0.250 0.250 0.000 1
Sb1 Sb 0.000 0.000 0.500 1
Ir1 Ir 0.000 0.500 0.500 1
```

=====

# 5
A plane-wave DFT calculation with PBE was carried out for a relaxed structure of ZrReW2.

## Properties
Energy, eV/atom: -11.7227
Theoretical density, g/cm3: 15.95
E above lowest polymorph, eV/f.u.: 0.23

The structure in CIF format:
```
data_ZrReW2
_space_group_name_H-M_alt 'F m -3 m'
_space_group_IT_number 225
_space_group_name_Hall '-F 4 2 3'
_cell_length_a 6.453
_cell_length_b 6.453
_cell_length_c 6.453
_cell_angle_alpha 90.00
_cell_angle_beta 90.00
_cell_angle_gamma 90.00
loop_
_atom_site_label
_atom_site_type_symbol
_atom_site_fract_x
_atom_site_fract_y
_atom_site_fract_z
_atom_site_occupancy
Zr1 Zr 0.000 0.000 0.000 1
Re1 Re 0.000 0.000 0.500 1
W1 W 0.250 0.250 0.250 1
```

=====

# 6
A plane-wave DFT calculation with PBE was carried out for a relaxed structure of KTiC3.

## Properties
Energy, eV/atom: -3.5001
Theoretical density, g/cm3: 2.96
E above lowest polymorph, eV/f.u.: 11.18

The structure in CIF format:
```
data_KTiC3
_space_group_name_H-M_alt 'P m -3 m'
_space_group_IT_number 221
_space_group_name_Hall '-P 4 2 3'
_cell_length_a 4.100
_cell_length_b 4.100
_cell_length_c 4.100
_cell_angle_alpha 90.00
_cell_angle_beta 90.00
_cell_angle_gamma 90.00
loop_
_atom_site_label
_atom_site_type_symbol
_atom_site_fract_x
_atom_site_fract_y
_atom_site_fract_z
_atom_site_occupancy
K1 K 0.000 0.000 0.000 1
Ti1 Ti 0.500 0.500 0.500 1
C1 C 0.000 0.000 0.500 1
```